#one
This record from the Alexandria database describes an optimized crystal structure of Na2LaZn2. The functional is GGA-PBE. Values from VASP.

Calculated values
Symmetry: I4/mmm (139)
Calculated density, g/cm³: 3.98
Total magnetization, μB per formula unit: 0.09
Crystal system: tetragonal
Density of states at the Fermi level, states/eV/atom: 0.82

Cell and atoms, written as Quantum ESPRESSO input:
```
&SYSTEM
  ibrav = 0, nat = 5, ntyp = 3
/
ATOMIC_SPECIES
Na 22.99 Na.upf
Zn 65.41 Zn.upf
La 138.91 La.upf
ATOMIC_POSITIONS crystal
Na 0.750 0.250 0.500
Na 0.250 0.750 0.500
Zn 0.408 0.408 0.183
Zn 0.592 0.592 0.817
La 0.000 0.000 0.000
CELL_PARAMETERS angstrom
4.285 0.000 0.000
0.000 4.285 0.000
2.142 2.142 7.173
```

#two
This record from the Alexandria database describes an optimized crystal structure of Na2LaZn2. The functional is GGA-PBE. Values from VASP.

Calculated values
Symmetry: P4/mbm (127)
Calculated density, g/cm³: 4.23
Total magnetization, μB per formula unit: 0.35
Crystal system: tetragonal
Density of states at the Fermi level, states/eV/atom: 0.85

Cell and atoms, written as Quantum ESPRESSO input:
```
&SYSTEM
  ibrav = 0, nat = 10, ntyp = 3
/
ATOMIC_SPECIES
Na 22.99 Na.upf
Zn 65.41 Zn.upf
La 138.91 La.upf
ATOMIC_POSITIONS crystal
Na 0.384 0.884 0.000
Na 0.884 0.616 0.000
Na 0.616 0.116 0.000
Na 0.116 0.384 0.000
Zn 0.187 0.687 0.500
Zn 0.687 0.813 0.500
Zn 0.813 0.313 0.500
Zn 0.313 0.187 0.500
La 0.000 0.000 0.000
La 0.500 0.500 0.000
CELL_PARAMETERS angstrom
-4.372 1.671 7.325
-0.420 -8.516 1.692
2.831 0.188 1.647
```

Last place for stability: #two